# MgFePb2

A geometry-optimized MgFePb2 structure (PBE-GGA, the Alexandria database).

Cell and atoms, written as extended XYZ:
```
4
Lattice="1.7235 0.9951 9.0127 -1.7235 0.9951 9.0127 0.0000 -1.9901 9.0127" Properties=species:S:1:pos:R:3 pbc="T T T"
Mg 0.0000 0.0000 0.0000
Fe 0.0000 0.0000 13.5191
Pb 0.0000 0.0000 6.4610
Pb 0.0000 0.0000 20.5772
```

Values from the calculation:
Total magnetic moment: 2.10 μB/cell
Formation energy: 0.32 eV per atom

=====

# MnCuTe3Pb

A geometry-optimized MnCuTe3Pb structure (PBE-GGA, the Alexandria database).

Cell and atoms, written as extended XYZ:
```
12
Lattice="8.6732 0.0000 0.0000 0.0000 4.1636 0.0000 -2.6232 0.0000 9.0430" Properties=species:S:1:pos:R:3 pbc="T T T"
Mn 1.1220 1.0409 1.4378
Mn 4.9280 3.1227 7.6053
Cu 2.5750 3.1227 3.9177
Cu 3.4750 1.0409 5.1253
Te -1.7956 1.0409 7.7408
Te 0.9705 1.0409 4.1926
Te 3.0365 3.1227 1.2197
Te 3.0135 1.0409 7.8234
Te 5.0795 3.1227 4.8504
Te 7.8456 3.1227 1.3023
Pb 0.6315 3.1227 6.9462
Pb 5.4185 1.0409 2.0969
```

Values from the calculation:
E_form (uncorrected): -0.178 eV/atom
Total magnetic moment: 8.15 μB/cell

=====

# Ce3Si2BiPt9

A geometry-optimized Ce3Si2BiPt9 structure (PBE-GGA, the Alexandria database).

Cell and atoms, written as extended XYZ:
```
15
Lattice="5.6834 0.0000 0.0000 -2.8417 4.9219 0.0000 0.0000 0.0000 11.9573" Properties=species:S:1:pos:R:3 pbc="T T T"
Ce 0.0000 0.0000 0.0000
Ce 0.0000 3.2813 9.2117
Ce 2.8417 1.6406 2.7456
Si 0.0000 3.2813 1.8854
Si 2.8417 1.6406 10.0719
Bi 0.0000 0.0000 5.9786
Pt -1.4208 2.4610 0.0000
Pt 0.0000 1.6120 3.6243
Pt -1.4456 4.1159 3.6243
Pt 1.3961 0.8060 8.3330
Pt 2.8417 0.0000 0.0000
Pt 1.4208 2.4610 0.0000
Pt 1.4456 4.1159 3.6243
Pt 4.2873 0.8060 8.3330
Pt 2.8417 3.3099 8.3330
```

Values from the calculation:
E_form (uncorrected): -0.752 eV/atom
Total magnetic moment: 1.95 μB/cell